1.
The following is a PBE calculation of a geometry-optimized HRu2W structure, from the Alexandria database.

Computed properties:
- final energy (eV per atom) = -8.67
- energy above the most stable polymorph in this dataset (eV per atom) = 0.000
- magnetization (μB per atom) = 0.000

a b c (Å): 2.8020 2.8020 20.3455
angles (deg): 90.00 90.00 120.00
Space group R-3m (No. 166, hexagonal axes)
Inequivalent atoms, fractional coordinates:
H  0.0000  0.0000  0.0000
Ru  0.0000  0.0000  0.2755
W  0.0000  0.0000  0.5000



2.
The following is a PBE calculation of a geometry-optimized Tl8IBr3Cl4 structure, from the Alexandria database.

Computed properties:
- formation energy from raw total energies (eV/f.u.) = -14.536
- final energy (eV per atom) = -2.96
- magnetization (μB per atom) = 0.000

a b c (Å): 9.4314 9.4314 23.1097
angles (deg): 90.00 90.00 120.00
Space group R-3m (No. 166, hexagonal axes)
Inequivalent atoms, fractional coordinates:
Tl  0.0000  0.0000  0.2464
Tl  0.0068  0.5034  0.2444
I  0.0000  0.0000  0.0000
Br  0.0000  0.5000  0.0000
Cl  0.0000  0.0000  0.5000
Cl  0.0000  0.5000  0.5000



3.
The following is a PBE calculation of a geometry-optimized Sm6Te2As3Se structure, from the Alexandria database.

Computed properties:
- formation energy from raw total energies (eV/f.u.) = -19.080
- final energy (eV per atom) = -5.93
- magnetization (μB per atom) = 0.000

a b c (Å): 18.811 4.260 8.649
angles (deg): 90.00 104.55 90.00
Space group C2/m (No. 12)
Inequivalent atoms, fractional coordinates:
Sm  0.007  0.000  0.246
Sm  0.159  0.500  0.101
Sm  0.169  0.500  0.566
Te  0.167  0.000  0.834
As  0.000  0.500  0.000
As  0.168  0.000  0.335
Se  0.000  0.500  0.500



4.
The following is a PBE calculation of a geometry-optimized MgBeAu2 structure, from the Alexandria database.

Computed properties:
- final energy (eV per atom) = -3.18
- energy above the most stable polymorph in this dataset (eV per atom) = 0.130
- magnetization (μB per atom) = 0.000
- DFT formation energy (eV/f.u.) = -0.85

a b c (Å): 3.5783 3.5783 18.7026
angles (deg): 90.00 90.00 120.00
Space group R3m (No. 160, hexagonal axes)
Inequivalent atoms, fractional coordinates:
Mg  0.0000  0.0000  0.0000
Be  0.0000  0.0000  0.1662
Au  0.0000  0.0000  0.5637
Au  0.0000  0.0000  0.7689